First-principles (PBEsol) data for a relaxed CdGa2ICl crystal, as listed in Alexandria via LeMat-Bulk.

Calculated values
crystal system = tetragonal
final energy = -11.1 eV for the cell shown
D(E_F) = 0.329 states/eV/atom
formation energy without anion corrections = 0.1039 eV per atom

Lattice parameters (Å, degrees): 5.4511 5.4511 5.4409 90.00 90.00 90.00
Last column: nearest neighbours and their distance in Å.
Element x y z (fractional)
Cd  0.0000  0.0000  0.5000  2 Cl 2.72
Ga  0.0000  0.5000  0.0000  2 Cl 2.73
Ga  0.5000  0.0000  0.0000  2 Cl 2.73
I  0.5000  0.5000  0.5000  8 Ga 3.85, 4 Cd 3.85
Cl  0.0000  0.0000  0.0000  2 Cd 2.72, 4 Ga 2.73